Material: CsBa3Hg
Method: DFT, PBE-GGA
State: optimized geometry

Cell and atoms, written as CIF:
```
data_CsBa3Hg
_symmetry_space_group_name_H-M 'P m -3 m'
_symmetry_Int_Tables_number 221
_symmetry_space_group_name_Hall '-P 4 2 3'
_cell_length_a 6.577
_cell_length_b 6.577
_cell_length_c 6.577
_cell_angle_alpha 90.00
_cell_angle_beta 90.00
_cell_angle_gamma 90.00
loop_
_atom_site_label
_atom_site_fract_x
_atom_site_fract_y
_atom_site_fract_z
Cs1 0.000 0.000 0.000
Ba1 0.000 0.000 0.500
Hg1 0.500 0.500 0.500
```

Properties
Density   4.350 Mg/m³
Energy above the most stable polymorph in this dataset   0.766 eV per atom
Total magnetization   0.000 μB per cell
E_form   0.6431 eV per atom